(1)
Density functional theory data (PBE) for a relaxed AgRuPb2O6 crystal.

As for the uncorrected formation energy: -0.817 eV/atom. Its final energy is -5.75 eV/atom. As for the size of the total moment: 3.01 μB/cell. The calculation puts the density of states at the Fermi level at 0.414 states/eV/atom.

It has space group R3 (No. 146, hexagonal axes), with a = 5.8260 Å, b = 5.8260 Å, c = 14.8619 Å, α = 90.00°, β = 90.00° and γ = 120.00°. The asymmetric unit holds Ag at (0.0000, 0.0000, 0.0000), Ru at (0.0000, 0.0000, 0.5266), Pb at (0.0000, 0.0000, 0.2283), Pb at (0.0000, 0.0000, 0.7428), O at (0.0092, 0.7396, 0.6122) and O at (0.0772, 0.3617, 0.1267).

***

(2)
Density functional theory data (PBE) for a relaxed Ag2PbSO4 crystal.

As for the uncorrected formation energy: -0.309 eV/atom. Its final energy is -4.48 eV/atom. As for the size of the total moment: 0.00 μB/cell. The calculation puts the density of states at the Fermi level at 0.465 states/eV/atom.

It has space group C2/c (No. 15), with a = 8.352 Å, b = 10.801 Å, c = 7.075 Å, α = 90.00°, β = 125.93° and γ = 90.00°. The asymmetric unit holds Ag at (0.000, 0.000, 0.000), Ag at (0.250, 0.250, 0.000), Pb at (0.250, 0.250, 0.500), S at (0.000, 0.500, 0.000), O at (0.081, 0.342, 0.094) and O at (0.245, 0.449, 0.671).

***

(3)
Density functional theory data (PBE) for a relaxed AgPbS2O8 crystal.

As for the uncorrected formation energy: -1.132 eV/atom. Its final energy is -5.67 eV/atom. As for the size of the total moment: 3.01 μB/cell. The calculation puts the density of states at the Fermi level at 0.484 states/eV/atom.

It has space group R-3 (No. 148, hexagonal axes), with a = 5.0103 Å, b = 5.0103 Å, c = 22.2852 Å, α = 90.00°, β = 90.00° and γ = 120.00°. The asymmetric unit holds Ag at (0.0000, 0.0000, 0.0000), Pb at (0.0000, 0.0000, 0.5000), S at (0.0000, 0.0000, 0.2482), O at (0.0000, 0.0000, 0.1809) and O at (0.0219, 0.7287, 0.2693).